A plane-wave DFT calculation with PBE-GGA was carried out for crystalline GaAg2Pb2 at its relaxed geometry.

```
data_GaAg2Pb2
_cell_length_a 8.625
_cell_length_b 8.625
_cell_length_c 3.380
_cell_angle_alpha 90.00
_cell_angle_beta 90.00
_cell_angle_gamma 90.00
_space_group_name_H-M_alt 'P 4/m b m'
_space_group_IT_number 127
_space_group_name_Hall '-P 4 2ab'
loop_
_atom_site_label
_atom_site_fract_x
_atom_site_fract_y
_atom_site_fract_z
_atom_site_occupancy
Ga1 0.000 0.000 0.000 1
Ag1 0.122 0.378 0.500 1
Pb1 0.173 0.673 0.000 1
```

Output
Energy above the most stable polymorph in this dataset: 0.0952 eV/atom
Total energy: -3.029 eV per atom
Magnetization: 0.0 Bohr magnetons per cell
Energy of formation from the pure elements: 0.20 eV/atom